Compound: Li2PuCuO4
Source: Alexandria via LeMat-Bulk
Functional: GGA-PBE
Structure: relaxed

a = 5.3204 Å, b = 3.5509 Å, c = 5.6007 Å
α = 90.00°, β = 95.62°, γ = 90.00°
Closest atoms and distances in Å follow each position.
Fractional positions:
Li: 0.0000 0.0000 0.0000  2 O 1.87
Li: 0.0000 0.5000 0.5000  2 O 2.03
Pu: 0.5000 0.0000 0.5000  2 O 1.95
Cu: 0.5000 0.5000 0.0000  2 O 1.82
O: 0.1739 0.0000 0.3073  1 Li 1.87, 1 Pu 1.95
O: 0.3397 0.5000 0.6981  1 Cu 1.82, 1 Li 2.03
O: 0.6603 0.5000 0.3019  1 Cu 1.82, 1 Li 2.03
O: 0.8261 0.0000 0.6927  1 Li 1.87, 1 Pu 1.95

Calculated values
- volume (Å³ per cell) = 105.30
- E (eV for the cell shown) = -58.3
- space group = P2/m



Compound: LiPuCuO5
Source: Alexandria via LeMat-Bulk
Functional: GGA-PBE
Structure: relaxed

a = 5.7136 Å, b = 5.7136 Å, c = 7.8211 Å
α = 101.17°, β = 101.17°, γ = 117.13°
Closest atoms and distances in Å follow each position.
Fractional positions:
Li: 0.0446 0.9554 0.7500  3 O 1.99-2.01
Li: 0.9554 0.0446 0.2500  3 O 1.99-2.01
Pu: 0.0000 0.5000 0.0000  4 O 1.91-2.00
Pu: 0.5000 0.0000 0.5000  4 O 1.91-2.00
Cu: 0.4488 0.5512 0.7500  4 O 1.92-1.94
Cu: 0.5512 0.4488 0.2500  4 O 1.92-1.94
O: 0.1600 0.8400 0.2500  1 Li 1.99, 2 Pu 2.16
O: 0.1667 0.3160 0.1308  1 Cu 1.92, 1 Pu 2.00, 1 Li 2.01
O: 0.3042 0.6691 0.5601  1 Pu 1.91, 1 Cu 1.94
O: 0.3160 0.1667 0.6308  1 Cu 1.92, 1 Pu 2.00, 1 Li 2.01
O: 0.3309 0.6958 0.9399  1 Pu 1.91, 1 Cu 1.94
O: 0.6691 0.3042 0.0601  1 Pu 1.91, 1 Cu 1.94
O: 0.6840 0.8333 0.3692  1 Cu 1.92, 1 Pu 2.00, 1 Li 2.01
O: 0.6958 0.3309 0.4399  1 Pu 1.91, 1 Cu 1.94
O: 0.8333 0.6840 0.8692  1 Cu 1.92, 1 Pu 2.00, 1 Li 2.01
O: 0.8400 0.1600 0.7500  1 Li 1.99, 2 Pu 2.16

Calculated values
- volume (Å³ per cell) = 210.97
- E (eV for the cell shown) = -118.0
- space group = C2/c



Compound: LiPuCuO6
Source: Alexandria via LeMat-Bulk
Functional: GGA-PBE
Structure: relaxed

a = 4.8441 Å, b = 4.8441 Å, c = 8.9080 Å
α = 90.00°, β = 90.00°, γ = 90.00°
Closest atoms and distances in Å follow each position.
Fractional positions:
Li: 0.0000 0.0000 0.0000  6 O 2.02-2.20
Li: 0.5000 0.5000 0.5000  6 O 2.02-2.20
Pu: 0.0000 0.0000 0.3385  6 O 1.90-2.09
Pu: 0.5000 0.5000 0.8385  6 O 1.90-2.09
Cu: 0.0000 0.0000 0.6777  4 O 1.90-1.92
Cu: 0.5000 0.5000 0.1777  4 O 1.90-1.92
O: 0.1798 0.1798 0.5120  1 Cu 1.92, 1 Pu 1.98
O: 0.1861 0.1861 0.1812  1 Pu 1.90, 1 Li 2.06
O: 0.1947 0.1947 0.8301  1 Cu 1.90, 1 Li 2.02, 1 Pu 2.09
O: 0.3053 0.6947 0.3301  1 Cu 1.90, 1 Li 2.02, 1 Pu 2.09
O: 0.3139 0.6861 0.6812  1 Pu 1.90, 1 Li 2.06
O: 0.3202 0.6798 0.0120  1 Cu 1.92, 1 Pu 1.98
O: 0.6798 0.3202 0.0120  1 Cu 1.92, 1 Pu 1.98
O: 0.6861 0.3139 0.6812  1 Pu 1.90, 1 Li 2.06
O: 0.6947 0.3053 0.3301  1 Cu 1.90, 1 Li 2.02, 1 Pu 2.09
O: 0.8053 0.8053 0.8301  1 Cu 1.90, 1 Li 2.02, 1 Pu 2.09
O: 0.8139 0.8139 0.1812  1 Pu 1.90, 1 Li 2.06
O: 0.8202 0.8202 0.5120  1 Cu 1.92, 1 Pu 1.98

Calculated values
- volume (Å³ per cell) = 209.03
- E (eV for the cell shown) = -126.8
- space group = P4_2nm



Compound: RbLiCuO2
Source: Alexandria via LeMat-Bulk
Functional: GGA-PBE
Structure: relaxed

a = 6.4317 Å, b = 6.4317 Å, c = 5.0933 Å
α = 90.00°, β = 90.00°, γ = 134.68°
Closest atoms and distances in Å follow each position.
Fractional positions:
Rb: 0.2500 0.7500 0.7626  8 O 2.99-3.34, 2 Cu 3.26
Rb: 0.7500 0.2500 0.2374  8 O 2.99-3.34, 2 Cu 3.26
Li: 0.2500 0.2500 0.0000  4 O 1.99
Li: 0.7500 0.7500 0.0000  4 O 1.99
Cu: 0.0000 0.0000 0.5000  2 O 1.79
Cu: 0.5000 0.5000 0.5000  2 O 1.79
O: 0.0917 0.9083 0.2202  1 Cu 1.79, 2 Li 1.99
O: 0.4083 0.5917 0.2202  1 Cu 1.79, 2 Li 1.99
O: 0.5917 0.4083 0.7798  1 Cu 1.79, 2 Li 1.99
O: 0.9083 0.0917 0.7798  1 Cu 1.79, 2 Li 1.99

Calculated values
- volume (Å³ per cell) = 149.81
- E (eV for the cell shown) = -45.0
- space group = Cmme



Compound: RbLi2CuO2
Source: Alexandria via LeMat-Bulk
Functional: GGA-PBE
Structure: relaxed

a = 5.2858 Å, b = 9.1665 Å, c = 3.5844 Å
α = 90.00°, β = 90.00°, γ = 90.00°
Closest atoms and distances in Å follow each position.
Fractional positions:
Rb: 0.0000 0.0000 0.0000  6 O 3.03-3.07, 8 Li 3.12-3.36, 4 Cu 3.19
Rb: 0.5000 0.5000 0.5000  6 O 3.03-3.07, 8 Li 3.12-3.36, 4 Cu 3.19
Li: 0.0058 0.2784 0.5000  3 O 2.01-2.03
Li: 0.4942 0.7784 0.0000  3 O 2.01-2.03
Li: 0.5058 0.2216 0.0000  3 O 2.01-2.03
Li: 0.9942 0.7216 0.5000  3 O 2.01-2.03
Cu: 0.0000 0.5000 0.0000  2 O 1.83
Cu: 0.5000 0.0000 0.5000  2 O 1.83
O: 0.1567 0.6778 0.0000  1 Cu 1.83, 3 Li 2.01-2.03
O: 0.3433 0.1778 0.5000  1 Cu 1.83, 3 Li 2.01-2.03
O: 0.6567 0.8222 0.5000  1 Cu 1.83, 3 Li 2.01-2.03
O: 0.8433 0.3222 0.0000  1 Cu 1.83, 3 Li 2.01-2.03

Calculated values
- volume (Å³ per cell) = 173.67
- E (eV for the cell shown) = -53.1
- space group = Pnnm



Compound: LiCuRhO4
Source: Alexandria via LeMat-Bulk
Functional: GGA-PBE
Structure: relaxed

a = 6.1724 Å, b = 6.1724 Å, c = 6.1724 Å
α = 125.54°, β = 121.32°, γ = 84.20°
Closest atoms and distances in Å follow each position.
Fractional positions:
Li: 0.4051 0.1551 0.2500  4 O 1.95-2.11
Li: 0.5949 0.8449 0.7500  4 O 1.95-2.11
Cu: 0.0000 0.0000 0.5000  4 O 1.91
Cu: 0.0000 0.5000 0.0000  4 O 1.91
Rh: 0.0000 0.5000 0.5000  6 O 1.99-2.03
Rh: 0.5000 0.5000 0.0000  6 O 1.99-2.03
O: 0.1761 0.7193 0.4568  2 Cu 1.91, 1 Rh 2.03, 1 Li 2.11
O: 0.2374 0.2807 0.9568  2 Cu 1.91, 1 Rh 2.03, 1 Li 2.11
O: 0.2756 0.3000 0.5245  1 Li 1.95, 2 Rh 1.99
O: 0.2756 0.7511 0.9755  1 Li 1.95, 2 Rh 1.99
O: 0.7244 0.2489 0.0245  1 Li 1.95, 2 Rh 1.99
O: 0.7244 0.7000 0.4755  1 Li 1.95, 2 Rh 1.99
O: 0.7626 0.7193 0.0432  2 Cu 1.91, 1 Rh 2.03, 1 Li 2.11
O: 0.8239 0.2807 0.5432  2 Cu 1.91, 1 Rh 2.03, 1 Li 2.11

Calculated values
- volume (Å³ per cell) = 156.48
- E (eV for the cell shown) = -79.6
- space group = Imma



Among the records above, which one has the highest E?
RbLiCuO2